Entry 1:
# TbYPbAu

A relaxed TbYPbAu crystal (GGA-PBE, the Alexandria database).

Cell lengths 5.2730, 5.2730, 5.2730 Å; angles 60.00, 60.00, 60.00 degrees
Last column: nearest neighbours and their distance in Å.
Fractional positions:
Tb  0.0000  0.0000  0.0000  4 Pb 3.23, 4 Au 3.23
Y  0.5000  0.5000  0.5000  4 Pb 3.23, 4 Au 3.23
Pb  0.7500  0.7500  0.7500  4 Tb 3.23, 4 Y 3.23
Au  0.2500  0.2500  0.2500  4 Tb 3.23, 4 Y 3.23

Summary:
ρ ... 10443 kg/m³
DFT formation energy ... -0.62 eV per atom
Space-group type ... F-43m, No. 216
DOS at the Fermi energy ... 0.891 states/eV/atom

Entry 2:
# La2HoTm

A relaxed La2HoTm crystal (GGA-PBE, the Alexandria database).

Cell lengths 7.2790, 7.2790, 5.8339 Å; angles 90.00, 90.00, 118.08 degrees
Last column: nearest neighbours and their distance in Å.
Fractional positions:
La  0.0894  0.4103  0.2500  4 Ho 3.59-3.68, 4 Tm 3.59-3.67, 4 La 3.68-3.75
La  0.4103  0.0894  0.7500  4 Ho 3.59-3.68, 4 Tm 3.59-3.67, 4 La 3.68-3.75
La  0.5897  0.9106  0.2500  4 Ho 3.59-3.68, 4 Tm 3.59-3.67, 4 La 3.68-3.75
La  0.9106  0.5897  0.7500  4 Ho 3.59-3.68, 4 Tm 3.59-3.67, 4 La 3.68-3.75
Ho  0.0863  0.9137  0.2500  8 La 3.59-3.68, 2 Ho 3.63, 2 Tm 3.74
Ho  0.9137  0.0863  0.7500  8 La 3.59-3.68, 2 Ho 3.63, 2 Tm 3.74
Tm  0.4135  0.5865  0.7500  8 La 3.59-3.67, 2 Tm 3.63, 2 Ho 3.74
Tm  0.5865  0.4135  0.2500  8 La 3.59-3.67, 2 Tm 3.63, 2 Ho 3.74

Summary:
ρ ... 7449 kg/m³
DFT formation energy ... 0.03 eV per atom
Space-group type ... Cmcm, No. 63
Excess energy over the best structure of this formula in the dataset ... 15.6 meV per atom
DOS at the Fermi energy ... 1.677 states/eV/atom

Entry 3:
# PuPd4Pt

A relaxed PuPd4Pt crystal (GGA-PBE, the Alexandria database).

Cell lengths 5.2997, 5.2997, 5.2997 Å; angles 60.00, 60.00, 60.00 degrees
Last column: nearest neighbours and their distance in Å.
Fractional positions:
Pu  0.0000  0.0000  0.0000  12 Pd 3.11, 4 Pt 3.25
Pd  0.1262  0.6246  0.6246  6 Pd 2.64-2.66
Pd  0.6246  0.1262  0.6246  6 Pd 2.64-2.66
Pd  0.6246  0.6246  0.1262  6 Pd 2.64-2.66
Pd  0.6246  0.6246  0.6246  6 Pd 2.64-2.66
Pt  0.2500  0.2500  0.2500  12 Pd 3.11, 4 Pu 3.25

Summary:
ρ ... 13643 kg/m³
DFT formation energy ... -0.30 eV per atom
Space-group type ... F-43m, No. 216
Excess energy over the best structure of this formula in the dataset ... 100.2 meV per atom
DOS at the Fermi energy ... 3.145 states/eV/atom

- The lowest ρ belongs to which entry?
  La2HoTm